# 1
# ZrRe2Mo, optimized geometry, DFT PBE
# * E_tot: -11.184 eV per atom
# * crystal system: tetragonal
# * magnetic moment: 0.000 μB per atom
data_ZrRe2Mo
_cell_length_a 3.199
_cell_length_b 3.199
_cell_length_c 6.534
_cell_angle_alpha 90.00
_cell_angle_beta 90.00
_cell_angle_gamma 90.00
_symmetry_space_group_name_H-M 'P 4/m m m'
_symmetry_Int_Tables_number 123
_symmetry_space_group_name_Hall '-P 4 2'
loop_
_atom_site_label
_atom_site_type_symbol
_atom_site_fract_x
_atom_site_fract_y
_atom_site_fract_z
_atom_site_occupancy
Zr1 Zr 0.000 0.000 0.000 1
Re1 Re 0.500 0.500 0.266 1
Mo1 Mo 0.000 0.000 0.500 1

# 2
# ZrRe2Mo, optimized geometry, DFT PBE
# * E_tot: -11.114 eV per atom
# * crystal system: orthorhombic
# * magnetic moment: 0.000 μB per atom
data_ZrRe2Mo
_cell_length_a 3.187
_cell_length_b 4.551
_cell_length_c 9.136
_cell_angle_alpha 90.00
_cell_angle_beta 90.00
_cell_angle_gamma 90.00
_symmetry_space_group_name_H-M 'I m m m'
_symmetry_Int_Tables_number 71
_symmetry_space_group_name_Hall '-I 2 2'
loop_
_atom_site_label
_atom_site_type_symbol
_atom_site_fract_x
_atom_site_fract_y
_atom_site_fract_z
_atom_site_occupancy
Zr1 Zr 0.000 0.000 0.000 1
Re1 Re 0.000 0.500 0.243 1
Mo1 Mo 0.000 0.000 0.500 1